1.
Density functional theory data (PBE) for a relaxed FeMo2Ru crystal.

## Properties
Symmetry = No. 160
VASP energy = -9.61 eV per atom
Offset from the most stable computed form = 0.56 eV per formula unit
Crystal system = trigonal
Energy relative to the elements = 242 meV/atom

a b c (Å): 9.209 9.209 9.209
angles (deg): 17.00 17.00 17.00
Atoms (fractional coordinates):
Ru1 0.497 0.497 0.497
Mo1 0.004 0.004 0.004
Fe1 0.753 0.753 0.753
Mo2 0.246 0.246 0.246


2.
Density functional theory data (PBE) for a relaxed Fe2MoRu2 crystal.

## Properties
Symmetry = No. 127
VASP energy = -9.00 eV per atom
Offset from the most stable computed form = 0.46 eV per formula unit
Crystal system = tetragonal
Energy relative to the elements = 258 meV/atom

a b c (Å): 7.081 7.081 2.643
angles (deg): 90.00 90.00 90.00
Atoms (fractional coordinates):
Fe1 0.169 0.669 0.500
Fe2 0.831 0.331 0.500
Mo1 0.500 0.500 0.000
Fe3 0.669 0.831 0.500
Mo2 0.000 0.000 0.000
Ru1 0.873 0.627 0.000
Fe4 0.331 0.169 0.500
Ru2 0.373 0.873 0.000
Ru3 0.627 0.127 0.000
Ru4 0.127 0.373 0.000


3.
Density functional theory data (PBE) for a relaxed FeMo2Ru crystal.

## Properties
Symmetry = No. 119
VASP energy = -9.68 eV per atom
Offset from the most stable computed form = 0.28 eV per formula unit
Crystal system = tetragonal
Energy relative to the elements = 171 meV/atom

a b c (Å): 4.709 4.709 4.709
angles (deg): 131.60 131.60 70.86
Atoms (fractional coordinates):
Fe1 0.750 0.250 0.500
Mo1 0.250 0.750 0.500
Ru1 0.500 0.500 0.000
Mo2 0.000 0.000 0.000


4.
Density functional theory data (PBE) for a relaxed FeMo2Ru crystal.

## Properties
Symmetry = No. 123
VASP energy = -9.66 eV per atom
Offset from the most stable computed form = 0.35 eV per formula unit
Crystal system = tetragonal
Energy relative to the elements = 189 meV/atom

a b c (Å): 3.161 3.161 5.750
angles (deg): 90.00 90.00 90.00
Atoms (fractional coordinates):
Ru1 0.500 0.500 0.250
Mo1 0.000 0.000 0.524
Mo2 0.000 0.000 0.976
Fe1 0.500 0.500 0.750


5.
Density functional theory data (PBE) for a relaxed Fe2MoRu crystal.

## Properties
Symmetry = No. 216
VASP energy = -9.13 eV per atom
Crystal system = cubic
Energy relative to the elements = 125 meV/atom

a b c (Å): 4.243 4.243 4.243
angles (deg): 60.00 60.00 60.00
Atoms (fractional coordinates):
Fe1 0.750 0.750 0.750
Fe2 0.000 0.000 0.000
Mo1 0.500 0.500 0.500
Ru1 0.250 0.250 0.250


6.
Density functional theory data (PBE) for a relaxed Fe2MoRu crystal.

## Properties
Symmetry = No. 25
VASP energy = -9.12 eV per atom
Crystal system = orthorhombic
Energy relative to the elements = 138 meV/atom

a b c (Å): 2.696 3.670 5.322
angles (deg): 90.00 90.00 90.00
Atoms (fractional coordinates):
Fe1 0.000 0.000 0.008
Fe2 0.500 0.500 0.235
Ru1 0.500 0.500 0.765
Mo1 0.000 0.000 0.491


7.
Density functional theory data (PBE) for a relaxed FeMo2Ru crystal.

## Properties
Symmetry = No. 216
VASP energy = -9.69 eV per atom
Offset from the most stable computed form = 0.22 eV per formula unit
Crystal system = cubic
Energy relative to the elements = 157 meV/atom

a b c (Å): 4.353 4.353 4.353
angles (deg): 60.00 60.00 60.00
Atoms (fractional coordinates):
Mo1 0.250 0.250 0.250
Ru1 0.750 0.750 0.750
Mo2 0.000 0.000 0.000
Fe1 0.500 0.500 0.500


8.
Density functional theory data (PBE) for a relaxed Fe3MoRu crystal.

## Properties
Symmetry = No. 221
VASP energy = -7.41 eV per atom
Crystal system = cubic
Energy relative to the elements = 1688 meV/atom

a b c (Å): 4.356 4.356 4.356
angles (deg): 90.00 90.00 90.00
Atoms (fractional coordinates):
Mo1 0.000 0.000 0.000
Fe1 0.000 0.500 0.000
Ru1 0.500 0.500 0.500
Fe2 0.500 0.000 0.000
Fe3 0.000 0.000 0.500


9.
Density functional theory data (PBE) for a relaxed FeMo2Ru crystal.

## Properties
Symmetry = No. 12
VASP energy = -9.69 eV per atom
Offset from the most stable computed form = 0.22 eV per formula unit
Crystal system = monoclinic
Energy relative to the elements = 156 meV/atom

a b c (Å): 5.222 5.010 2.692
angles (deg): 81.54 76.52 117.29
Atoms (fractional coordinates):
Ru1 0.000 0.500 0.500
Fe1 0.500 0.500 0.000
Mo1 0.500 0.000 0.500
Mo2 0.000 0.000 0.000


10.
Density functional theory data (PBE) for a relaxed FeMo2Ru crystal.

## Properties
Symmetry = No. 71
VASP energy = -9.73 eV per atom
Offset from the most stable computed form = 0.10 eV per formula unit
Crystal system = orthorhombic
Energy relative to the elements = 125 meV/atom

a b c (Å): 5.091 5.091 5.091
angles (deg): 144.29 130.56 62.47
Atoms (fractional coordinates):
Mo1 0.007 0.007 0.000
Fe1 0.250 0.750 0.500
Mo2 0.493 0.493 0.000
Ru1 0.750 0.250 0.500


11.
Density functional theory data (PBE) for a relaxed FeMoRu crystal.

## Properties
Symmetry = No. 107
VASP energy = -9.39 eV per atom
Offset from the most stable computed form = 0.04 eV per formula unit
Crystal system = tetragonal
Energy relative to the elements = 131 meV/atom

a b c (Å): 6.036 6.036 2.672
angles (deg): 77.21 77.21 25.58
Atoms (fractional coordinates):
Mo1 0.663 0.663 0.337
Ru1 0.344 0.344 0.656
Fe1 0.993 0.993 0.007


12.
Density functional theory data (PBE) for a relaxed Fe2MoRu crystal.

## Properties
Symmetry = No. 123
VASP energy = -9.11 eV per atom
Crystal system = tetragonal
Energy relative to the elements = 148 meV/atom

a b c (Å): 4.207 4.207 3.012
angles (deg): 90.00 90.00 90.00
Atoms (fractional coordinates):
Fe1 0.500 0.500 0.000
Mo1 0.500 0.000 0.500
Fe2 0.000 0.000 0.000
Ru1 0.000 0.500 0.500


13.
Density functional theory data (PBE) for a relaxed FeMo2Ru crystal.

## Properties
Symmetry = No. 225
VASP energy = -9.60 eV per atom
Offset from the most stable computed form = 0.60 eV per formula unit
Crystal system = cubic
Energy relative to the elements = 250 meV/atom

a b c (Å): 4.344 4.344 4.344
angles (deg): 60.00 60.00 60.00
Atoms (fractional coordinates):
Fe1 0.000 0.000 0.000
Ru1 0.500 0.500 0.500
Mo1 0.250 0.250 0.250
Mo2 0.750 0.750 0.750


14.
Density functional theory data (PBE) for a relaxed FeMo2Ru crystal.

## Properties
Symmetry = No. 47
VASP energy = -9.71 eV per atom
Offset from the most stable computed form = 0.15 eV per formula unit
Crystal system = orthorhombic
Energy relative to the elements = 139 meV/atom

a b c (Å): 3.180 4.249 4.292
angles (deg): 90.00 90.00 90.00
Atoms (fractional coordinates):
Ru1 0.500 0.000 0.500
Fe1 0.000 0.500 0.500
Mo1 0.500 0.500 0.000
Mo2 0.000 0.000 0.000


15.
Density functional theory data (PBE) for a relaxed Fe2MoRu crystal.

## Properties
Symmetry = No. 12
VASP energy = -9.08 eV per atom
Crystal system = monoclinic
Energy relative to the elements = 176 meV/atom

a b c (Å): 4.977 4.948 2.633
angles (deg): 80.34 78.72 116.80
Atoms (fractional coordinates):
Fe1 0.500 0.000 0.500
Fe2 0.000 0.000 0.000
Mo1 0.000 0.500 0.500
Ru1 0.500 0.500 0.000


16.
Density functional theory data (PBE) for a relaxed Fe2MoRu crystal.

## Properties
Symmetry = No. 99
VASP energy = -9.18 eV per atom
Crystal system = tetragonal
Energy relative to the elements = 79 meV/atom

a b c (Å): 2.949 2.949 6.145
angles (deg): 90.00 90.00 90.00
Atoms (fractional coordinates):
Fe1 0.500 0.500 0.232
Fe2 0.000 0.000 0.017
Mo1 0.000 0.000 0.488
Ru1 0.500 0.500 0.762


17.
Density functional theory data (PBE) for a relaxed FeMo2Ru crystal.

## Properties
Symmetry = No. 166
VASP energy = -9.62 eV per atom
Offset from the most stable computed form = 0.51 eV per formula unit
Crystal system = trigonal
Energy relative to the elements = 227 meV/atom

a b c (Å): 9.053 9.053 9.053
angles (deg): 17.31 17.31 17.31
Atoms (fractional coordinates):
Mo1 0.498 0.498 0.498
Fe1 0.750 0.750 0.750
Ru1 0.250 0.250 0.250
Mo2 0.002 0.002 0.002


18.
Density functional theory data (PBE) for a relaxed Fe2MoRuS crystal.

## Properties
Symmetry = No. 123
VASP energy = -6.80 eV per atom
Formation energy from raw total energies = 1.43 eV/atom
Crystal system = tetragonal

a b c (Å): 4.555 4.260 4.555
angles (deg): 90.00 90.00 90.00
Atoms (fractional coordinates):
Fe1 0.000 0.000 0.500
Ru1 0.000 0.000 0.000
Mo1 0.500 0.500 0.500
S1 0.000 0.500 0.000
Fe2 0.500 0.000 0.000


19.
Density functional theory data (PBE) for a relaxed FeMo2RuS crystal.

## Properties
Symmetry = No. 123
VASP energy = -7.10 eV per atom
Formation energy from raw total energies = 1.61 eV/atom
Crystal system = tetragonal

a b c (Å): 4.753 4.348 4.753
angles (deg): 90.00 90.00 90.00
Atoms (fractional coordinates):
S1 0.000 0.500 0.000
Ru1 0.000 0.000 0.000
Mo1 0.000 0.000 0.500
Mo2 0.500 0.000 0.000
Fe1 0.500 0.500 0.500


20.
Density functional theory data (PBE) for a relaxed TaFeMoRu crystal.

## Properties
Symmetry = No. 216
VASP energy = -10.12 eV per atom
Crystal system = cubic
Energy relative to the elements = -13 meV/atom

a b c (Å): 4.398 4.398 4.398
angles (deg): 60.00 60.00 60.00
Atoms (fractional coordinates):
Fe1 0.000 0.000 0.000
Mo1 0.250 0.250 0.250
Ta1 0.500 0.500 0.500
Ru1 0.750 0.750 0.750


21.
Density functional theory data (PBE) for a relaxed TiFeMoRu2 crystal.

## Properties
Symmetry = No. 123
VASP energy = -8.18 eV per atom
Crystal system = tetragonal
Energy relative to the elements = 973 meV/atom

a b c (Å): 4.381 4.397 4.381
angles (deg): 90.00 90.00 90.00
Atoms (fractional coordinates):
Ru1 0.000 0.000 0.500
Ti1 0.500 0.500 0.500
Mo1 0.000 0.500 0.000
Fe1 0.000 0.000 0.000
Ru2 0.500 0.000 0.000


22.
Density functional theory data (PBE) for a relaxed ZnFeMoRu crystal.

## Properties
Symmetry = No. 216
VASP energy = -7.43 eV per atom
Crystal system = cubic
Energy relative to the elements = 31 meV/atom

a b c (Å): 4.242 4.242 4.242
angles (deg): 60.00 60.00 60.00
Atoms (fractional coordinates):
Mo1 0.500 0.500 0.500
Zn1 0.000 0.000 0.000
Fe1 0.250 0.250 0.250
Ru1 0.750 0.750 0.750


23.
Density functional theory data (PBE) for a relaxed Zr2FeMoRu crystal.

## Properties
Symmetry = No. 123
VASP energy = -7.92 eV per atom
Crystal system = tetragonal
Energy relative to the elements = 1210 meV/atom

a b c (Å): 4.974 4.583 4.974
angles (deg): 90.00 90.00 90.00
Atoms (fractional coordinates):
Fe1 0.500 0.500 0.500
Zr1 0.000 0.000 0.500
Ru1 0.000 0.000 0.000
Mo1 0.000 0.500 0.000
Zr2 0.500 0.000 0.000


24.
Density functional theory data (PBE) for a relaxed FeMoS2 crystal.

## Properties
Symmetry = No. 122
VASP energy = -7.06 eV per atom
Formation energy from raw total energies = -0.17 eV/atom
Offset from the most stable computed form = 0.03 eV per formula unit
Crystal system = tetragonal

a b c (Å): 5.239 5.239 6.151
angles (deg): 64.79 64.79 90.00
Atoms (fractional coordinates):
Fe1 0.500 0.500 0.000
Fe2 0.250 0.750 0.500
S1 0.875 0.846 0.750
S2 0.596 0.125 0.250
S3 0.154 0.625 0.250
Mo1 0.000 0.000 0.000
S4 0.375 0.404 0.750
Mo2 0.750 0.250 0.500


25.
Density functional theory data (PBE) for a relaxed FeMo2S4 crystal.

## Properties
Symmetry = No. 15
VASP energy = -7.27 eV per atom
Formation energy from raw total energies = -0.61 eV/atom
Crystal system = monoclinic

a b c (Å): 6.390 6.754 11.811
angles (deg): 94.33 105.70 61.76
Atoms (fractional coordinates):
S1 0.015 0.097 0.382
S2 0.257 0.081 0.847
Mo1 0.764 0.696 0.488
S3 0.503 0.581 0.347
S4 0.473 0.914 0.615
Mo2 0.022 0.196 0.988
S5 0.983 0.423 0.650
S6 0.733 0.926 0.152
S7 0.006 0.584 0.350
S8 0.487 0.426 0.652
Mo3 0.719 0.307 0.510
S9 0.263 0.597 0.882
S10 0.974 0.910 0.618
Mo4 0.477 0.807 0.010
Mo5 0.226 0.311 0.511
Mo6 0.271 0.700 0.490
Fe1 0.387 0.754 0.750
Mo7 0.513 0.200 0.990
S11 0.752 0.084 0.850
S12 0.769 0.593 0.885
Fe2 0.602 0.254 0.250
Fe3 0.137 0.253 0.250
S13 0.727 0.410 0.118
Fe4 0.853 0.754 0.750
S14 0.237 0.923 0.150
S15 0.516 0.093 0.385
S16 0.221 0.414 0.115
Mo8 0.968 0.811 0.011


26.
Density functional theory data (PBE) for a relaxed FeMoS2 crystal.

## Properties
Symmetry = No. 225
VASP energy = -6.87 eV per atom
Formation energy from raw total energies = 0.01 eV/atom
Offset from the most stable computed form = 0.78 eV per formula unit
Crystal system = cubic

a b c (Å): 4.153 4.153 4.153
angles (deg): 60.00 60.00 60.00
Atoms (fractional coordinates):
S1 0.750 0.750 0.750
Fe1 0.000 0.000 0.000
Mo1 0.500 0.500 0.500
S2 0.250 0.250 0.250


27.
Density functional theory data (PBE) for a relaxed FeMoS2 crystal.

## Properties
Symmetry = No. 166
VASP energy = -7.07 eV per atom
Formation energy from raw total energies = -0.18 eV/atom
Offset from the most stable computed form = 0.00 eV per formula unit
Crystal system = trigonal

a b c (Å): 7.895 7.895 7.895
angles (deg): 22.56 22.56 22.56
Atoms (fractional coordinates):
Fe1 0.000 0.000 0.000
S1 0.905 0.905 0.905
Mo1 0.500 0.500 0.500
S2 0.095 0.095 0.095


28.
Density functional theory data (PBE) for a relaxed FeMo6S8 crystal.

## Properties
Symmetry = No. 148
VASP energy = -7.68 eV per atom
Formation energy from raw total energies = -0.58 eV/atom
Crystal system = trigonal

a b c (Å): 6.471 6.471 6.471
angles (deg): 93.12 93.12 93.12
Atoms (fractional coordinates):
Mo1 0.589 0.783 0.452
S1 0.214 0.214 0.214
Mo2 0.411 0.217 0.548
S2 0.265 0.866 0.629
S3 0.735 0.134 0.371
Mo3 0.783 0.452 0.589
S4 0.371 0.735 0.134
Mo4 0.217 0.548 0.411
Mo5 0.452 0.589 0.783
Mo6 0.548 0.411 0.217
S5 0.134 0.371 0.735
Fe1 0.000 0.000 0.000
S6 0.629 0.265 0.866
S7 0.866 0.629 0.265
S8 0.786 0.786 0.786